# SrLiFe2 PBE optimized geometry
# Crystal system: tetragonal
# DOS(E_F), states/eV/cell: 4.62
# ΔE_f, eV/f.u.: 2.6
data_SrLiFe2
_chemical_formula_sum 'Sr1 Li1 Fe2'
_cell_length_a 3.445
_cell_length_b 3.445
_cell_length_c 6.757
_cell_angle_alpha 90.00
_cell_angle_beta 90.00
_cell_angle_gamma 90.00
_space_group_name_H-M_alt 'P 4/m m m'
_space_group_IT_number 123
_space_group_name_Hall '-P 4 2'
loop_
_atom_site_label
_atom_site_fract_x
_atom_site_fract_y
_atom_site_fract_z
_atom_site_occupancy
Sr1 0.000 0.000 0.000 1
Li1 0.000 0.000 0.500 1
Fe1 0.500 0.500 0.338 1

---

# Sr2LiFe PBE optimized geometry
# Crystal system: monoclinic
# DOS(E_F), states/eV/cell: 8.05
# ΔE_f, eV/f.u.: 1.7
data_Sr2LiFe
_chemical_formula_sum 'Sr2 Li1 Fe1'
_cell_length_a 4.484
_cell_length_b 4.723
_cell_length_c 6.445
_cell_angle_alpha 90.00
_cell_angle_beta 110.29
_cell_angle_gamma 90.00
_space_group_name_H-M_alt 'P 1 m 1'
_space_group_IT_number 6
loop_
_space_group_symop_operation_xyz
'x,y,z'
'x,-y,z'
loop_
_atom_site_label
_atom_site_fract_x
_atom_site_fract_y
_atom_site_fract_z
_atom_site_occupancy
Sr1 0.000 0.000 0.000 1
Sr2 0.284 0.500 0.569 1
Li1 0.697 0.000 0.395 1
Fe1 0.585 0.500 0.170 1

---

# SrLiTi2Fe PBE optimized geometry
# Crystal system: tetragonal
# DOS(E_F), states/eV/cell: 4.98
# ΔE_f, eV/f.u.: 1.5
data_SrLiTi2Fe
_chemical_formula_sum 'Sr1 Li1 Ti2 Fe1'
_cell_length_a 4.504
_cell_length_b 4.504
_cell_length_c 5.295
_cell_angle_alpha 90.00
_cell_angle_beta 90.00
_cell_angle_gamma 90.00
_space_group_name_H-M_alt 'P 4/m m m'
_space_group_IT_number 123
_space_group_name_Hall '-P 4 2'
loop_
_atom_site_label
_atom_site_fract_x
_atom_site_fract_y
_atom_site_fract_z
_atom_site_occupancy
Sr1 0.000 0.000 0.000 1
Li1 0.500 0.500 0.000 1
Ti1 0.000 0.500 0.500 1
Fe1 0.500 0.500 0.500 1

---

# Sr2LiVFe PBE optimized geometry
# Crystal system: tetragonal
# DOS(E_F), states/eV/cell: 7.70
# ΔE_f, eV/f.u.: 3.0
data_Sr2LiVFe
_chemical_formula_sum 'Sr2 Li1 V1 Fe1'
_cell_length_a 6.039
_cell_length_b 6.039
_cell_length_c 4.146
_cell_angle_alpha 90.00
_cell_angle_beta 90.00
_cell_angle_gamma 90.00
_space_group_name_H-M_alt 'P 4/m m m'
_space_group_IT_number 123
_space_group_name_Hall '-P 4 2'
loop_
_atom_site_label
_atom_site_fract_x
_atom_site_fract_y
_atom_site_fract_z
_atom_site_occupancy
Sr1 0.000 0.500 0.000 1
Li1 0.000 0.000 0.500 1
V1 0.500 0.500 0.500 1
Fe1 0.500 0.500 0.000 1

---

# SrLi2ZnFe PBE optimized geometry
# Crystal system: tetragonal
# DOS(E_F), states/eV/cell: 10.98
# ΔE_f, eV/f.u.: 4.6
data_SrLi2ZnFe
_chemical_formula_sum 'Sr1 Li2 Zn1 Fe1'
_cell_length_a 4.724
_cell_length_b 4.724
_cell_length_c 5.867
_cell_angle_alpha 90.00
_cell_angle_beta 90.00
_cell_angle_gamma 90.00
_space_group_name_H-M_alt 'P 4/m m m'
_space_group_IT_number 123
_space_group_name_Hall '-P 4 2'
loop_
_atom_site_label
_atom_site_fract_x
_atom_site_fract_y
_atom_site_fract_z
_atom_site_occupancy
Sr1 0.000 0.000 0.000 1
Li1 0.000 0.500 0.500 1
Zn1 0.000 0.000 0.500 1
Fe1 0.500 0.500 0.000 1

---

# LiTaFe PBE optimized geometry
# Crystal system: cubic
# DOS(E_F), states/eV/cell: 4.93
# ΔE_f, eV/f.u.: 3.0
data_LiTaFe
_chemical_formula_sum 'Li4 Ta4 Fe4'
_cell_length_a 5.783
_cell_length_b 5.783
_cell_length_c 5.783
_cell_angle_alpha 90.00
_cell_angle_beta 90.00
_cell_angle_gamma 90.00
_space_group_name_H-M_alt 'F -4 3 m'
_space_group_IT_number 216
_space_group_name_Hall 'F -4 2 3'
loop_
_atom_site_label
_atom_site_fract_x
_atom_site_fract_y
_atom_site_fract_z
_atom_site_occupancy
Li1 0.000 0.000 0.000 1
Ta1 0.250 0.250 0.750 1
Fe1 0.000 0.000 0.500 1

---

# LiTaFe PBE optimized geometry
# Crystal system: trigonal
# DOS(E_F), states/eV/cell: 2.29
# ΔE_f, eV/f.u.: 0.9
data_LiTaFe
_chemical_formula_sum 'Li1 Ta1 Fe1'
_cell_length_a 4.1954
_cell_length_b 4.1954
_cell_length_c 2.6791
_cell_angle_alpha 90.00
_cell_angle_beta 90.00
_cell_angle_gamma 120.00
_space_group_name_H-M_alt 'P 3 m 1'
_space_group_IT_number 156
loop_
_space_group_symop_operation_xyz
'x,y,z'
'-y,x-y,z'
'-x+y,-x,z'
'-y,-x,z'
'-x+y,y,z'
'x,x-y,z'
loop_
_atom_site_label
_atom_site_fract_x
_atom_site_fract_y
_atom_site_fract_z
_atom_site_occupancy
Li1 0.0000 0.0000 0.0000 1
Ta1 0.6667 0.3333 0.4000 1
Fe1 0.3333 0.6667 0.7257 1

---

# LiTa2Fe PBE optimized geometry
# Crystal system: tetragonal
# DOS(E_F), states/eV/cell: 3.81
# ΔE_f, eV/f.u.: 1.2
data_LiTa2Fe
_chemical_formula_sum 'Li1 Ta2 Fe1'
_cell_length_a 2.732
_cell_length_b 2.732
_cell_length_c 8.756
_cell_angle_alpha 90.00
_cell_angle_beta 90.00
_cell_angle_gamma 90.00
_space_group_name_H-M_alt 'P 4 m m'
_space_group_IT_number 99
loop_
_space_group_symop_operation_xyz
'x,y,z'
'-y,x,z'
'-x,-y,z'
'y,-x,z'
'-x,y,z'
'y,x,z'
'x,-y,z'
'-y,-x,z'
loop_
_atom_site_label
_atom_site_fract_x
_atom_site_fract_y
_atom_site_fract_z
_atom_site_occupancy
Li1 0.000 0.000 0.000 1
Ta1 0.000 0.000 0.544 1
Ta2 0.500 0.500 0.277 1
Fe1 0.500 0.500 0.775 1

---

# LiTaFe PBE optimized geometry
# Crystal system: tetragonal
# DOS(E_F), states/eV/cell: 3.77
# ΔE_f, eV/f.u.: 0.8
data_LiTaFe
_chemical_formula_sum 'Li2 Ta2 Fe2'
_cell_length_a 3.138
_cell_length_b 3.138
_cell_length_c 8.516
_cell_angle_alpha 90.00
_cell_angle_beta 90.00
_cell_angle_gamma 90.00
_space_group_name_H-M_alt 'I 4 m m'
_space_group_IT_number 107
_space_group_name_Hall 'I 4 -2'
loop_
_atom_site_label
_atom_site_fract_x
_atom_site_fract_y
_atom_site_fract_z
_atom_site_occupancy
Li1 0.000 0.000 0.000 1
Ta1 0.000 0.000 0.696 1
Fe1 0.000 0.000 0.333 1

---

# LiTa2Fe PBE optimized geometry
# Crystal system: monoclinic
# DOS(E_F), states/eV/cell: 3.95
# ΔE_f, eV/f.u.: 1.1
data_LiTa2Fe
_chemical_formula_sum 'Li1 Ta2 Fe1'
_cell_length_a 2.748
_cell_length_b 4.364
_cell_length_c 5.044
_cell_angle_alpha 90.00
_cell_angle_beta 99.80
_cell_angle_gamma 90.00
_space_group_name_H-M_alt 'P 1 m 1'
_space_group_IT_number 6
loop_
_space_group_symop_operation_xyz
'x,y,z'
'x,-y,z'
loop_
_atom_site_label
_atom_site_fract_x
_atom_site_fract_y
_atom_site_fract_z
_atom_site_occupancy
Li1 0.000 0.000 0.000 1
Ta1 0.368 0.000 0.532 1
Ta2 0.641 0.500 0.210 1
Fe1 0.094 0.500 0.716 1

---

# LiTaFe PBE optimized geometry
# Crystal system: cubic
# DOS(E_F), states/eV/cell: 5.87
# ΔE_f, eV/f.u.: 2.0
data_LiTaFe
_chemical_formula_sum 'Li4 Ta4 Fe4'
_cell_length_a 5.727
_cell_length_b 5.727
_cell_length_c 5.727
_cell_angle_alpha 90.00
_cell_angle_beta 90.00
_cell_angle_gamma 90.00
_space_group_name_H-M_alt 'F -4 3 m'
_space_group_IT_number 216
_space_group_name_Hall 'F -4 2 3'
loop_
_atom_site_label
_atom_site_fract_x
_atom_site_fract_y
_atom_site_fract_z
_atom_site_occupancy
Li1 0.000 0.000 0.000 1
Ta1 0.000 0.000 0.500 1
Fe1 0.250 0.250 0.250 1

---

# LiTa2Fe PBE optimized geometry
# Crystal system: tetragonal
# DOS(E_F), states/eV/cell: 3.46
# ΔE_f, eV/f.u.: 1.0
data_LiTa2Fe
_chemical_formula_sum 'Li1 Ta2 Fe1'
_cell_length_a 3.070
_cell_length_b 3.070
_cell_length_c 6.409
_cell_angle_alpha 90.00
_cell_angle_beta 90.00
_cell_angle_gamma 90.00
_space_group_name_H-M_alt 'P 4 m m'
_space_group_IT_number 99
loop_
_space_group_symop_operation_xyz
'x,y,z'
'-y,x,z'
'-x,-y,z'
'y,-x,z'
'-x,y,z'
'y,x,z'
'x,-y,z'
'-y,-x,z'
loop_
_atom_site_label
_atom_site_fract_x
_atom_site_fract_y
_atom_site_fract_z
_atom_site_occupancy
Li1 0.000 0.000 0.000 1
Ta1 0.000 0.000 0.580 1
Ta2 0.500 0.500 0.280 1
Fe1 0.500 0.500 0.787 1